Material: LaCeCdIn
Method: DFT, GGA-PBE
State: optimized geometry

Cell lengths 5.5222, 5.5222, 5.5222 Å; angles 60.00, 60.00, 60.00 degrees
Last column: magnetic moment on the atom in μB.
Sites, in units of the cell vectors:
Cd 0.7500 0.7500 0.7500  0.02
In 0.2500 0.2500 0.2500  -0.01
Ce 0.5000 0.5000 0.5000  0.93
La 0.0000 0.0000 0.0000  0.12

For the raw total energy, the calculation gives -3.94 eV per atom. The offset from the most stable computed form is 0.000 eV per atom. The value obtained for the formation energy is -1.3 eV/f.u.